1.
A plane-wave DFT calculation with PBE was carried out for Zr2Cr2Co after structural relaxation.

Lattice parameters (Å, degrees): 6.1878 6.1878 4.2299 90.00 90.00 90.00
Closest atoms and distances in Å follow each position.
Positions (direct):
Zr 0.1818 0.3182 0.0000  6 Cr 2.73-2.85
Zr 0.3182 0.8182 0.0000  6 Cr 2.73-2.85
Zr 0.6818 0.1818 0.0000  6 Cr 2.73-2.85
Zr 0.8182 0.6818 0.0000  6 Cr 2.73-2.85
Cr 0.1209 0.6209 0.5000  1 Cr 2.12
Cr 0.3791 0.1209 0.5000  1 Cr 2.12
Cr 0.6209 0.8791 0.5000  1 Cr 2.12
Cr 0.8791 0.3791 0.5000  1 Cr 2.12
Co 0.0000 0.0000 0.5000  4 Cr 2.46
Co 0.5000 0.5000 0.5000  4 Cr 2.46

## Properties
- M_tot (μB per formula unit) = 0.99
- V (Å³/cell) = 162.0
- VASP energy (eV/atom) = -8.520
- formation energy (eV per atom) = 0.170


2.
A plane-wave DFT calculation with PBE was carried out for PmSn6Se8 after structural relaxation.

Lattice parameters (Å, degrees): 10.0363 10.0363 5.5471 90.00 90.00 120.00
Closest atoms and distances in Å follow each position.
Positions (direct):
Pm 0.0000 0.0000 0.0000  6 Se 2.99
Sn 0.0972 0.4190 0.1715  3 Se 2.74-2.79
Sn 0.3218 0.9028 0.1715  3 Se 2.74-2.79
Sn 0.4190 0.3218 0.8285  3 Se 2.74-2.79
Sn 0.5810 0.6782 0.1715  3 Se 2.74-2.79
Sn 0.6782 0.0972 0.8285  3 Se 2.74-2.79
Sn 0.9028 0.5810 0.8285  3 Se 2.74-2.79
Se 0.0119 0.7441 0.2567  2 Sn 2.74-2.78, 1 Pm 2.99
Se 0.2559 0.2678 0.2567  2 Sn 2.74-2.78, 1 Pm 2.99
Se 0.2678 0.0119 0.7433  2 Sn 2.74-2.78, 1 Pm 2.99
Se 0.3333 0.6667 0.9232  3 Sn 2.79
Se 0.6667 0.3333 0.0768  3 Sn 2.79
Se 0.7322 0.9881 0.2567  2 Sn 2.74-2.78, 1 Pm 2.99
Se 0.7441 0.7322 0.7433  2 Sn 2.74-2.78, 1 Pm 2.99
Se 0.9881 0.2559 0.7433  2 Sn 2.74-2.78, 1 Pm 2.99

## Properties
- formation energy without anion corrections (eV/atom) = -0.566
- M_tot (μB per formula unit) = 0.00
- V (Å³/cell) = 483.9
- VASP energy (eV/atom) = -4.342


3.
A plane-wave DFT calculation with PBE was carried out for CdHgH2F8 after structural relaxation.

Lattice parameters (Å, degrees): 3.6810 4.8624 9.2937 100.14 94.43 107.32
Closest atoms and distances in Å follow each position.
Positions (direct):
Cd 0.0000 0.0000 0.0000  6 F 2.21-2.37
Hg 0.0000 0.0000 0.5000  4 F 2.02-2.06
H 0.4491 0.4962 0.2514  1 F 0.99
H 0.5509 0.5038 0.7486  1 F 0.99
F 0.2043 0.2335 0.7125  1 H 1.50
F 0.2215 0.3189 0.2344  1 H 0.99
F 0.3185 0.7355 0.5323  1 Hg 2.02
F 0.3977 0.7466 0.0321  2 Cd 2.21-2.26
F 0.6023 0.2534 0.9679  2 Cd 2.21-2.26
F 0.6815 0.2645 0.4677  1 Hg 2.02
F 0.7785 0.6811 0.7656  1 H 0.99
F 0.7957 0.7665 0.2875  1 H 1.50

## Properties
- M_tot (μB per formula unit) = 0.87
- V (Å³/cell) = 154.8
- VASP energy (eV/atom) = -3.295


4.
A plane-wave DFT calculation with PBE was carried out for TaVSn after structural relaxation.

Lattice parameters (Å, degrees): 5.6744 4.5802 8.1199 90.00 90.00 90.00
Closest atoms and distances in Å follow each position.
Positions (direct):
Ta 0.0150 0.2500 0.2324  3 V 2.74-2.82, 2 Ta 2.85, 3 Sn 3.00-3.02
Ta 0.4850 0.7500 0.7324  3 V 2.74-2.82, 2 Ta 2.85, 3 Sn 3.00-3.02
Ta 0.5150 0.2500 0.2676  3 V 2.74-2.82, 2 Ta 2.85, 3 Sn 3.00-3.02
Ta 0.9850 0.7500 0.7676  3 V 2.74-2.82, 2 Ta 2.85, 3 Sn 3.00-3.02
V 0.1828 0.2500 0.9163  5 Sn 2.72-2.92, 3 Ta 2.74-2.82
V 0.3172 0.7500 0.4163  5 Sn 2.72-2.92, 3 Ta 2.74-2.82
V 0.6828 0.2500 0.5837  5 Sn 2.72-2.92, 3 Ta 2.74-2.82
V 0.8172 0.7500 0.0837  5 Sn 2.72-2.92, 3 Ta 2.74-2.82
Sn 0.1975 0.2500 0.5813  5 V 2.72-2.92, 3 Ta 3.00-3.02
Sn 0.3025 0.7500 0.0813  5 V 2.72-2.92, 3 Ta 3.00-3.02
Sn 0.6975 0.2500 0.9187  5 V 2.72-2.92, 3 Ta 3.00-3.02
Sn 0.8025 0.7500 0.4187  5 V 2.72-2.92, 3 Ta 3.00-3.02

## Properties
- M_tot (μB per formula unit) = 0.00
- V (Å³/cell) = 211.0
- VASP energy (eV/atom) = -8.311
- formation energy (eV per atom) = 0.013


5.
A plane-wave DFT calculation with PBE was carried out for Cu2RhAu after structural relaxation.

Lattice parameters (Å, degrees): 4.5911 4.5911 4.7954 100.13 100.13 35.18
Closest atoms and distances in Å follow each position.
Positions (direct):
Cu 0.2470 0.2470 0.2342  3 Rh 2.64-2.66, 6 Cu 2.65-2.89, 3 Au 2.71-2.72
Cu 0.7530 0.7530 0.7658  3 Rh 2.64-2.66, 6 Cu 2.65-2.89, 3 Au 2.71-2.72
Rh 0.5000 0.5000 0.0000  6 Cu 2.64-2.66, 4 Au 2.77, 2 Rh 2.78
Au 0.0000 0.0000 0.5000  6 Cu 2.71-2.72, 4 Rh 2.77, 2 Au 2.78

## Properties
- M_tot (μB per formula unit) = 0.00
- V (Å³/cell) = 57.2
- VASP energy (eV/atom) = -4.643
- formation energy (eV per atom) = 0.062


6.
A plane-wave DFT calculation with PBE was carried out for Li4Zn3Cu after structural relaxation.

Lattice parameters (Å, degrees): 8.0403 8.0403 3.9922 104.25 104.25 28.01
Closest atoms and distances in Å follow each position.
Positions (direct):
Li 0.1172 0.1172 0.1173  6 Zn 2.63-2.79, 2 Cu 2.66-2.67, 4 Li 2.81
Li 0.2481 0.2481 0.7480  4 Zn 2.75-2.83, 8 Li 2.79-2.81
Li 0.7519 0.7519 0.2520  4 Zn 2.75-2.83, 8 Li 2.79-2.81
Li 0.8828 0.8828 0.8827  6 Zn 2.63-2.79, 2 Cu 2.66-2.67, 4 Li 2.81
Zn 0.3808 0.3808 0.3798  2 Cu 2.65, 2 Zn 2.68-2.69, 8 Li 2.75-2.83
Zn 0.5000 0.5000 0.0000  4 Li 2.63, 4 Zn 2.68-2.69, 4 Cu 2.79
Zn 0.6192 0.6192 0.6202  2 Cu 2.65, 2 Zn 2.68-2.69, 8 Li 2.75-2.83
Cu 0.0000 0.0000 0.5000  8 Zn 2.65-2.79, 4 Li 2.66-2.67

## Properties
- M_tot (μB per formula unit) = 0.00
- V (Å³/cell) = 117.2
- VASP energy (eV/atom) = -2.080
- energy relative to the lowest polymorph listed for this composition (eV/f.u.) = 0.000
- formation energy (eV per atom) = -0.133


7.
A plane-wave DFT calculation with PBE was carried out for Sr6Au2SN after structural relaxation.

Lattice parameters (Å, degrees): 7.3315 7.9499 12.8785 90.00 124.07 90.00
Closest atoms and distances in Å follow each position.
Positions (direct):
Sr 0.1289 0.0277 0.2341  1 N 2.61
Sr 0.1289 0.4723 0.7341  1 N 2.61
Sr 0.2260 0.7107 0.0538  1 N 2.69, 1 S 2.98
Sr 0.2260 0.7893 0.5538  1 N 2.69, 1 S 2.98
Sr 0.3467 0.1783 0.0513  1 N 2.65
Sr 0.3467 0.3217 0.5513  1 N 2.65
Sr 0.6533 0.6783 0.4487  1 N 2.65
Sr 0.6533 0.8217 0.9487  1 N 2.65
Sr 0.7740 0.2107 0.4462  1 N 2.69, 1 S 2.98
Sr 0.7740 0.2893 0.9462  1 N 2.69, 1 S 2.98
Sr 0.8711 0.5277 0.2659  1 N 2.61
Sr 0.8711 0.9723 0.7659  1 N 2.61
Au 0.2859 0.0862 0.7500  6 Sr 3.24-3.42
Au 0.2859 0.4138 0.2500  6 Sr 3.24-3.42
Au 0.7141 0.5862 0.7500  6 Sr 3.24-3.42
Au 0.7141 0.9138 0.2500  6 Sr 3.24-3.42
S 0.5000 0.0000 0.5000  6 Sr 2.96-3.01
S 0.5000 0.5000 0.0000  6 Sr 2.96-3.01
N 0.0000 0.0000 0.0000  6 Sr 2.61-2.69
N 0.0000 0.5000 0.5000  6 Sr 2.61-2.69

## Properties
- formation energy without anion corrections (eV/atom) = -0.849
- M_tot (μB per formula unit) = 0.00
- V (Å³/cell) = 621.8
- VASP energy (eV/atom) = -3.759


8.
A plane-wave DFT calculation with PBE was carried out for AcHgGeAu after structural relaxation.

Lattice parameters (Å, degrees): 5.2383 5.2383 5.2383 60.00 60.00 60.00
Closest atoms and distances in Å follow each position.
Positions (direct):
Ac 0.0000 0.0000 0.0000  4 Ge 3.21, 4 Au 3.21
Hg 0.5000 0.5000 0.5000  4 Ge 3.21, 4 Au 3.21
Ge 0.7500 0.7500 0.7500  4 Hg 3.21, 4 Ac 3.21
Au 0.2500 0.2500 0.2500  4 Hg 3.21, 4 Ac 3.21

## Properties
- M_tot (μB per formula unit) = 0.00
- V (Å³/cell) = 101.6
- VASP energy (eV/atom) = -3.491
- formation energy (eV per atom) = -0.414